Entry 1
A geometry-optimized TbErAg structure, computed with PBE.

The structure in extended XYZ format:
```
12
Lattice="5.0483 0.0000 0.0000 0.0000 9.0586 0.0000 0.0000 0.0000 7.0082" Properties=species:S:1:pos:R:3 pbc="T T T"
Ag 3.7863 5.4484 1.6794
Tb 1.2621 7.3794 3.3910
Tb 3.7863 1.6792 3.6172
Er 1.2621 0.7041 5.9414
Er 3.7863 5.2334 4.5709
Tb 3.7863 2.8501 0.1131
Er 3.7863 8.3545 1.0668
Ag 3.7863 8.1395 5.1835
Er 1.2621 3.8252 2.4373
Tb 1.2621 6.2085 6.8951
Ag 1.2621 3.6102 5.3288
Ag 1.2621 0.9191 1.8247
```

Values from the calculation:
Its space group is Pnma, No. 62. The calculation puts the calculated volume at 26.7 Å³/atom.

Entry 2
A geometry-optimized TbErAg structure, computed with PBE.

The structure in extended XYZ format:
```
6
Lattice="-0.1785 -4.1005 2.3322 0.2863 -2.3389 -4.0905 7.4470 -0.0209 0.5332" Properties=species:S:1:pos:R:3 pbc="T T T"
Tb 0.8954 -2.0530 1.2366
Ag 5.4792 -2.0659 1.5648
Er 3.7235 -0.0104 0.2666
Tb 6.6055 -1.1876 -1.5825
Er 3.7774 -3.2302 -0.6126
Ag 2.0217 -1.1747 -1.9108
```

Values from the calculation:
Its space group is P4/nmm, No. 129. The calculation puts the calculated volume at 27.7 Å³/atom.

What is the stability order? It is entry 1, entry 2, from most stable to least stable.

Entry 1
A geometry-optimized Tb2ErAg2 structure, computed with PBE.

The structure in extended XYZ format:
```
10
Lattice="4.9040 0.0000 0.0000 0.0000 5.2881 0.0124 0.0000 -1.2750 10.8597" Properties=species:S:1:pos:R:3 pbc="T T T"
Tb 1.2260 3.2963 9.6565
Tb 3.6780 3.3239 5.3570
Er 1.2260 3.4036 2.6205
Tb 3.6780 0.7168 1.2156
Ag 1.2260 0.6327 10.7752
Ag 1.2260 3.3489 6.8806
Ag 3.6780 0.6642 3.9915
Ag 3.6780 3.3805 0.0969
Tb 1.2260 0.6893 5.5150
Er 3.6780 0.6095 8.2516
```

Values from the calculation:
Its space group is P2_1/m, No. 11. The calculation puts the calculated volume at 28.2 Å³/atom.

Entry 2
A geometry-optimized Tb2ErAg2 structure, computed with PBE.

The structure in extended XYZ format:
```
10
Lattice="-2.4260 -2.5477 0.9333 3.5004 -2.1480 3.2354 -3.1909 9.1148 9.5036" Properties=species:S:1:pos:R:3 pbc="T T T"
Ag 0.1600 -0.6587 5.7260
Er -1.7102 2.6742 9.9621
Tb 2.2077 -0.8674 3.3720
Ag -0.7670 -1.0464 2.2472
Tb -2.6757 2.3560 6.5712
Ag -2.2765 5.0778 7.9462
Tb -4.3242 5.2865 10.3003
Ag -1.3496 5.4655 11.4251
Er -0.4063 1.7449 3.7102
Tb 0.5592 2.0631 7.1011
```

Values from the calculation:
Its space group is Cmcm, No. 63. The calculation puts the calculated volume at 25.6 Å³/atom.

What is the stability order? It is entry 2, entry 1, from most stable to least stable.

Entry 1
A geometry-optimized TbErAg4 structure, computed with PBE.

The structure in extended XYZ format:
```
6
Lattice="-1.8481 -0.3658 -3.1933 4.7770 -2.3391 -0.3444 -2.0328 -7.2525 -0.1549" Properties=species:S:1:pos:R:3 pbc="T T T"
Tb -0.5802 -8.5853 -1.9264
Ag 0.7139 -6.0119 -0.8145
Er 3.7493 -5.9463 -0.4249
Ag 3.1668 -3.7704 -2.4857
Ag -2.2946 -6.1484 -1.2120
Ag 0.1600 -3.9064 -2.8844
```

Values from the calculation:
Its space group is P-1, No. 2. The calculation puts the calculated volume at 21.5 Å³/atom.

Entry 2
A geometry-optimized TbErAg4 structure, computed with PBE.

The structure in extended XYZ format:
```
6
Lattice="5.6963 0.0000 0.0000 2.8481 4.9331 0.0000 2.8481 1.6444 4.6510" Properties=species:S:1:pos:R:3 pbc="T T T"
Ag 5.6963 3.2887 0.5829
Ag 4.2735 4.1102 2.9064
Ag 5.6963 1.6458 2.9064
Er 2.8481 1.6444 1.1627
Ag 7.1191 4.1102 2.9064
Tb 0.0000 0.0000 0.0000
```

Values from the calculation:
Its space group is F-43m, No. 216. The calculation puts the calculated volume at 21.8 Å³/atom.

What is the stability order? It is entry 1, entry 2, from most stable to least stable.